The following is a DFT calculation (GGA-PBE) of a geometry-optimized MgTaAlOs structure.

DFT total energy: -7.40 eV/atom
Magnetic moment: 0.0 μB/f.u.
DFT formation energy: -297 meV per atom

Cell and atoms, written as CIF:
```
data_MgTaAlOs
_cell_length_a 4.4648
_cell_length_b 4.4648
_cell_length_c 4.4648
_cell_angle_alpha 60.00
_cell_angle_beta 60.00
_cell_angle_gamma 60.00
_symmetry_space_group_name_H-M 'P 1'
_symmetry_Int_Tables_number 1
_symmetry_space_group_name_Hall 'P 1'
loop_
_atom_site_label
_atom_site_type_symbol
_atom_site_fract_x
_atom_site_fract_y
_atom_site_fract_z
_atom_site_occupancy
Mg1 Mg 0.7500 0.7500 0.7500 1
Al1 Al 0.5000 0.5000 0.5000 1
Os1 Os 0.2500 0.2500 0.2500 1
Ta1 Ta 0.0000 0.0000 0.0000 1
```